VASP calculation (GGA+U) on a relaxed RbVAsF6 crystal.

```
RbVAsF6
1.0
5.5319 0.0000 0.0000
0.0391 5.5419 0.0000
2.6773 0.2318 5.3641
Rb V As F
1 1 1 6
Direct
0.0000 0.0000 0.0000 Rb
0.6692 0.4523 0.6870 V
0.3455 0.4982 0.3103 As
0.0511 0.2956 0.5758 F
0.3325 0.6036 0.7953 F
0.5433 0.1543 0.8714 F
0.5836 0.3110 0.3986 F
0.7037 0.5881 0.9807 F
0.9020 0.6877 0.4320 F
```

Properties
Total energy = -45.8 eV per cell
Space-group type = P1